The following is a DFT calculation (GGA-PBE) of a geometry-optimized TcSnIr structure.

Calculated values
As for the distance to the lowest polymorph of the same formula: 0.000 eV/atom. The value obtained for the total moment is 0.00 μB/f.u. Its crystal system is orthorhombic. Its energy relative to the elements is 0.01 eV per atom.

Unit cell a=2.981 b=4.469 c=7.570 alpha=90.00 beta=90.00 gamma=90.00
Element x y z (fractional)
Tc  0.500  0.000  0.202
Tc  0.500  0.500  0.415
Sn  0.000  0.000  0.531
Sn  0.500  0.500  0.793
Ir  0.000  0.000  0.906
Ir  0.000  0.500  0.127